Computed, not measured: a geometry-optimized TaInNiRu structure at the PBE level of DFT.

Results
For the formation energy, the calculation gives -0.142 eV per atom. The value obtained for the volume is 252.1 Å³/cell. The calculation puts the magnetic moment at 0.0 μB per formula unit.

a = 6.3175 Å, b = 6.3175 Å, c = 6.3175 Å
α = 90.00°, β = 90.00°, γ = 90.00°
With the nearest neighbours (Å) after each atom.
Space group F-43m (No. 216)
Asymmetric unit:
Ta  0.0000  0.0000  0.0000 (multiplicity 4)  4 Ru 2.74, 4 Ni 2.74
In  0.0000  0.0000  0.5000 (multiplicity 4)  4 Ru 2.74, 4 Ni 2.74
Ni  0.2500  0.2500  0.2500 (multiplicity 4)  4 Ta 2.74, 4 In 2.74
Ru  0.2500  0.2500  0.7500 (multiplicity 4)  4 Ta 2.74, 4 In 2.74